The following is a GGA+U calculation of an optimized crystal structure of AcNi3C4O12, from Alexandria via LeMat-Bulk.

```
AcNi3C4O12
1.0
-0.407 5.908 -1.970
0.835 -3.163 -5.315
-5.907 -1.358 1.489
O C Ni Ac
12 4 3 1
Direct
0.619 0.803 0.035
0.500 0.366 0.634
0.965 0.197 0.381
0.035 0.619 0.803
0.381 0.965 0.197
0.803 0.035 0.619
0.634 0.500 0.366
0.917 0.500 0.083
0.083 0.917 0.500
0.500 0.083 0.917
0.366 0.634 0.500
0.197 0.381 0.965
0.500 0.949 0.051
0.051 0.500 0.949
0.949 0.051 0.500
0.500 0.500 0.500
0.000 0.546 0.454
0.454 0.000 0.546
0.546 0.454 0.000
0.000 0.000 0.000
```

## Properties
Spin magnetization in μB per formula unit: 5.0
Calculated total energy in eV/atom: -6.91